1.
# AgPdCl2 | the Alexandria database | PBE | relaxed
data_AgPdCl2
_chemical_formula_sum 'Ag3 Pd3 Cl6'
_cell_length_a 3.6506
_cell_length_b 3.6506
_cell_length_c 23.9362
_cell_angle_alpha 90.00
_cell_angle_beta 90.00
_cell_angle_gamma 120.00
_space_group_name_H-M_alt 'R -3 m'
_space_group_IT_number 166
_space_group_name_Hall '-R 3 2"'
loop_
_atom_site_label
_atom_site_fract_x
_atom_site_fract_y
_atom_site_fract_z
Ag1 0.0000 0.0000 0.0000
Pd1 0.0000 0.0000 0.5000
Cl1 0.0000 0.0000 0.4038
# - Relative energy among the computed polymorphs: 0 meV/atom


2.
A plane-wave DFT calculation with PBE was carried out for crystalline La6Ni2AgCl3 at its relaxed geometry.

The structure in CIF format:
```
data_La6Ni2AgCl3
_chemical_formula_sum 'La12 Ni4 Ag2 Cl6'
_cell_length_a 18.947
_cell_length_b 4.151
_cell_length_c 8.816
_cell_angle_alpha 90.00
_cell_angle_beta 105.09
_cell_angle_gamma 90.00
_space_group_name_H-M_alt 'C 1 2/m 1'
_space_group_IT_number 12
loop_
_space_group_symop_operation_xyz
'x,y,z'
'-x,-y,-z'
'-x,y,-z'
'x,-y,z'
'x+1/2,y+1/2,z'
'-x+1/2,-y+1/2,-z'
'-x+1/2,y+1/2,-z'
'x+1/2,-y+1/2,z'
loop_
_atom_site_label
_atom_site_fract_x
_atom_site_fract_y
_atom_site_fract_z
La1 0.009 0.000 0.264
La2 0.170 0.500 0.111
La3 0.173 0.500 0.558
Ni1 0.167 0.000 0.330
Ag1 0.000 0.500 0.000
Cl1 0.000 0.500 0.500
Cl2 0.163 0.000 0.829
```


Calculated total energy (computed, eV per atom): -3.069, -5.036
Raw formation energy (computed, eV per atom): -0.13, -0.91